P:
{
  "formula": "Cd2Cu2Te",
  "functional": "GGA-PBE",
  "state": "optimized geometry",
  "lattice_angstrom": [[8.317, 0.000, 0.000], [0.000, 8.317, 0.000], [0.000, 0.000, 2.930]],
  "species": ["Te", "Te", "Cu", "Cu", "Cu", "Cu", "Cd", "Cd", "Cd", "Cd"],
  "frac_coords": [[0.000, 0.000, 0.000], [0.500, 0.500, 0.000], [0.106, 0.606, 0.500], [0.606, 0.894, 0.500], [0.894, 0.394, 0.500], [0.394, 0.106, 0.500], [0.319, 0.819, 0.000], [0.819, 0.681, 0.000], [0.681, 0.181, 0.000], [0.181, 0.319, 0.000]],
  "space_group": "No. 127",
  "rho_g_cm3": 7.86,
  "vol_a3_per_cell": 203
}



Q:
{
  "formula": "Cd2Cu2Te",
  "functional": "GGA-PBE",
  "state": "optimized geometry",
  "lattice_angstrom": [[-3.661, 4.554, 3.790], [-5.832, -1.985, -3.249], [-0.615, -2.876, 2.862]],
  "species": ["Te", "Te", "Cu", "Cu", "Cu", "Cu", "Cd", "Cd", "Cd", "Cd"],
  "frac_coords": [[0.000, 0.000, 0.000], [0.500, 0.500, 0.000], [0.372, 0.872, 0.000], [0.872, 0.628, 0.000], [0.628, 0.128, 0.000], [0.128, 0.372, 0.000], [0.156, 0.656, 0.500], [0.656, 0.844, 0.500], [0.844, 0.344, 0.500], [0.344, 0.156, 0.500]],
  "space_group": "No. 127",
  "rho_g_cm3": 8.00,
  "vol_a3_per_cell": 199
}



Stability summary: most stable Q, least stable P.



P:
{
  "formula": "TiCdCu",
  "functional": "GGA-PBE",
  "state": "optimized geometry",
  "lattice_angstrom": [[-3.260, 1.412, -1.543], [-2.069, -2.596, 1.996], [-0.553, 4.513, 5.297]],
  "species": ["Cd", "Cd", "Cu", "Cu", "Ti", "Ti"],
  "frac_coords": [[0.000, 0.500, 0.849], [0.500, 0.000, 0.151], [0.000, 0.500, 0.238], [0.500, 0.000, 0.762], [0.500, 0.500, 0.500], [0.000, 0.000, 0.500]],
  "space_group": "No. 129",
  "rho_g_cm3": 7.10,
  "vol_a3_per_cell": 105
}



Q:
{
  "formula": "TiCdCu",
  "functional": "GGA-PBE",
  "state": "optimized geometry",
  "lattice_angstrom": [[-2.121, 1.732, 1.497], [-1.525, 0.452, -2.684], [-5.649, -8.461, 1.784]],
  "species": ["Ti", "Ti", "Cd", "Cd", "Cu", "Cu"],
  "frac_coords": [[0.000, 0.500, 0.583], [0.500, 0.000, 0.417], [0.000, 0.500, 0.893], [0.500, 0.000, 0.107], [0.500, 0.000, 0.726], [0.000, 0.500, 0.274]],
  "space_group": "No. 129",
  "rho_g_cm3": 7.39,
  "vol_a3_per_cell": 101
}



R:
{
  "formula": "TiCdCu",
  "functional": "GGA-PBE",
  "state": "optimized geometry",
  "lattice_angstrom": [[-2.541, 0.373, -1.299], [0.152, -1.475, 2.467], [-0.981, 5.975, 3.632]],
  "species": ["Ti", "Cu", "Cd"],
  "frac_coords": [[0.667, 0.333, 0.312], [0.000, 0.000, 0.010], [0.333, 0.667, 0.678]],
  "space_group": "No. 156",
  "rho_g_cm3": 7.34,
  "vol_a3_per_cell": 51
}



Stability summary: most stable Q, least stable R.



P:
{
  "formula": "Tl2CdCu2",
  "functional": "GGA-PBE",
  "state": "optimized geometry",
  "lattice_angstrom": [[-2.014, -2.153, -1.781], [2.371, -0.156, -2.493], [4.213, -8.481, 2.156]],
  "species": ["Tl", "Tl", "Cu", "Cu", "Cd"],
  "frac_coords": [[0.378, 0.378, 0.244], [0.622, 0.622, 0.756], [0.750, 0.250, 0.500], [0.250, 0.750, 0.500], [0.000, 0.000, 0.000]],
  "space_group": "No. 139",
  "rho_g_cm3": 9.65,
  "vol_a3_per_cell": 112
}



Q:
{
  "formula": "Tl2CdCu2",
  "functional": "GGA-PBE",
  "state": "optimized geometry",
  "lattice_angstrom": [[4.711, 0.000, 0.000], [0.000, 4.711, 0.000], [2.355, 2.355, 5.311]],
  "species": ["Tl", "Tl", "Cu", "Cu", "Cd"],
  "frac_coords": [[0.750, 0.250, 0.500], [0.250, 0.750, 0.500], [0.390, 0.390, 0.220], [0.610, 0.610, 0.780], [0.000, 0.000, 0.000]],
  "space_group": "No. 139",
  "rho_g_cm3": 9.13,
  "vol_a3_per_cell": 118
}



Stability summary: most stable P, least stable Q.



P:
{
  "formula": "Tl2Cd2Cu",
  "functional": "GGA-PBE",
  "state": "optimized geometry",
  "lattice_angstrom": [[-5.675, -3.951, -1.543], [2.726, -5.371, 3.731], [-2.337, 1.722, 4.186]],
  "species": ["Tl", "Tl", "Tl", "Tl", "Cu", "Cu", "Cd", "Cd", "Cd", "Cd"],
  "frac_coords": [[0.171, 0.671, 0.500], [0.671, 0.829, 0.500], [0.829, 0.329, 0.500], [0.329, 0.171, 0.500], [0.000, 0.000, 0.000], [0.500, 0.500, 0.000], [0.347, 0.847, 0.000], [0.847, 0.653, 0.000], [0.653, 0.153, 0.000], [0.153, 0.347, 0.000]],
  "space_group": "No. 127",
  "rho_g_cm3": 9.05,
  "vol_a3_per_cell": 256
}



Q:
{
  "formula": "Tl2Cd2Cu",
  "functional": "GGA-PBE",
  "state": "optimized geometry",
  "lattice_angstrom": [[7.177, 0.000, 0.000], [0.000, 7.177, 0.000], [0.000, 0.000, 5.090]],
  "species": ["Tl", "Tl", "Tl", "Tl", "Cu", "Cu", "Cd", "Cd", "Cd", "Cd"],
  "frac_coords": [[0.333, 0.833, 0.000], [0.833, 0.667, 0.000], [0.667, 0.167, 0.000], [0.167, 0.333, 0.000], [0.000, 0.000, 0.000], [0.500, 0.500, 0.000], [0.153, 0.653, 0.500], [0.653, 0.847, 0.500], [0.847, 0.347, 0.500], [0.347, 0.153, 0.500]],
  "space_group": "No. 127",
  "rho_g_cm3": 8.83,
  "vol_a3_per_cell": 262
}



Stability summary: most stable P, least stable Q.



P:
{
  "formula": "Tm4CdCu",
  "functional": "GGA-PBE",
  "state": "optimized geometry",
  "lattice_angstrom": [[5.856, 0.000, -0.852], [0.000, 8.761, 0.000], [-0.994, 0.000, 6.197]],
  "species": ["Tm", "Tm", "Tm", "Tm", "Tm", "Tm", "Tm", "Tm", "Cd", "Cd", "Cu", "Cu"],
  "frac_coords": [[0.079, 0.656, 0.134], [0.421, 0.156, 0.866], [0.380, 0.332, 0.388], [0.120, 0.832, 0.612], [0.921, 0.344, 0.866], [0.579, 0.844, 0.134], [0.620, 0.668, 0.612], [0.880, 0.168, 0.388], [0.000, 0.000, 0.000], [0.500, 0.500, 0.000], [0.500, 0.000, 0.500], [0.000, 0.500, 0.500]],
  "space_group": "No. 14",
  "rho_g_cm3": 9.11,
  "vol_a3_per_cell": 311
}



Q:
{
  "formula": "Tm4CdCu",
  "functional": "GGA-PBE",
  "state": "optimized geometry",
  "lattice_angstrom": [[3.461, -0.001, 0.000], [0.001, 3.461, 0.000], [-0.001, -0.001, 12.706]],
  "species": ["Tm", "Tm", "Tm", "Tm", "Cd", "Cu"],
  "frac_coords": [[0.500, 0.500, 0.833], [0.500, 0.500, 0.167], [0.000, 0.000, 0.633], [0.000, 0.000, 0.367], [0.000, 0.000, 0.000], [0.500, 0.500, 0.500]],
  "space_group": "No. 123",
  "rho_g_cm3": 9.29,
  "vol_a3_per_cell": 152
}



Stability summary: most stable Q, least stable P.



P:
{
  "formula": "YTmCdCu",
  "functional": "GGA-PBE",
  "state": "optimized geometry",
  "lattice_angstrom": [[3.487, 0.000, 0.000], [0.000, 3.487, 0.000], [0.000, 0.000, 7.637]],
  "species": ["Y", "Tm", "Cd", "Cu"],
  "frac_coords": [[0.500, 0.500, 0.794], [0.500, 0.500, 0.351], [0.000, 0.000, 0.077], [0.000, 0.000, 0.562]],
  "space_group": "No. 99",
  "rho_g_cm3": 7.76,
  "vol_a3_per_cell": 93
}



Q:
{
  "formula": "YTmCdCu",
  "functional": "GGA-PBE",
  "state": "optimized geometry",
  "lattice_angstrom": [[5.093, 0.000, 0.000], [2.546, 4.410, 0.000], [2.546, 1.470, 4.158]],
  "species": ["Y", "Tm", "Cu", "Cd"],
  "frac_coords": [[0.750, 0.750, 0.750], [0.250, 0.250, 0.250], [0.000, 0.000, 0.000], [0.500, 0.500, 0.500]],
  "space_group": "No. 216",
  "rho_g_cm3": 7.71,
  "vol_a3_per_cell": 93
}



Stability summary: most stable P, least stable Q.